# AgMoC2F

A relaxed structure of AgMoC2F (GGA+U, the Alexandria database).

The total energy is -4.500 eV/atom.

a b c (Å): 3.9318 5.8926 3.9318
angles (deg): 90.00 90.00 90.00
Fractional coordinates of all 5 atoms:
Mo  0.0000  0.0000  0.0000
C  0.0000  0.0000  0.5000
C  0.5000  0.0000  0.0000
Ag  0.0000  0.5000  0.0000
F  0.5000  0.5000  0.5000